# SCAN HfBe2Ni2, PBEsol geometry
data_HfBe2Ni2
_chemical_formula_sum 'Hf2 Be4 Ni4'
_cell_length_a 3.547
_cell_length_b 3.547
_cell_length_c 8.976
_cell_angle_alpha 90.00
_cell_angle_beta 90.00
_cell_angle_gamma 90.00
_symmetry_space_group_name_H-M 'I 4/m m m'
_symmetry_Int_Tables_number 139
_symmetry_space_group_name_Hall '-I 4 2'
loop_
_atom_site_label
_atom_site_type_symbol
_atom_site_fract_x
_atom_site_fract_y
_atom_site_fract_z
Hf1 Hf 0.000 0.000 0.000
Be1 Be 0.000 0.000 0.383
Ni1 Ni 0.000 0.500 0.250
# Volume: 112.9 Å³ per cell
# Magnetic moment: 0.0 μB per formula unit
# Calculated total energy: -21.189 eV per atom
# Calculated density: 9.2 g cm⁻³
# Crystal system: tetragonal

=====

# SCAN YReNF2, PBEsol geometry
data_YReNF2
_chemical_formula_sum 'Y1 Re1 N1 F2'
_cell_length_a 4.275
_cell_length_b 4.275
_cell_length_c 3.826
_cell_angle_alpha 90.00
_cell_angle_beta 90.00
_cell_angle_gamma 90.00
_symmetry_space_group_name_H-M 'P 4/m m m'
_symmetry_Int_Tables_number 123
_symmetry_space_group_name_Hall '-P 4 2'
loop_
_atom_site_label
_atom_site_type_symbol
_atom_site_fract_x
_atom_site_fract_y
_atom_site_fract_z
Y1 Y 0.000 0.000 0.000
Re1 Re 0.500 0.500 0.500
N1 N 0.500 0.500 0.000
F1 F 0.000 0.500 0.500
# Volume: 69.9 Å³ per cell
# Magnetic moment: 0.6 μB per formula unit
# Raw formation energy: -0.991 eV/atom
# Calculated total energy: -24.053 eV per atom
# Calculated density: 7.8 g cm⁻³
# Crystal system: tetragonal

=====

# SCAN Mg2MoIr, PBEsol geometry
data_Mg2MoIr
_chemical_formula_sum 'Mg2 Mo1 Ir1'
_cell_length_a 4.628
_cell_length_b 4.628
_cell_length_c 2.914
_cell_angle_alpha 90.00
_cell_angle_beta 90.00
_cell_angle_gamma 90.00
_symmetry_space_group_name_H-M 'P 4/m m m'
_symmetry_Int_Tables_number 123
_symmetry_space_group_name_Hall '-P 4 2'
loop_
_atom_site_label
_atom_site_type_symbol
_atom_site_fract_x
_atom_site_fract_y
_atom_site_fract_z
Mg1 Mg 0.000 0.500 0.000
Mo1 Mo 0.000 0.000 0.500
Ir1 Ir 0.500 0.500 0.500
# Volume: 62.4 Å³ per cell
# E above lowest polymorph: 0.293 eV per atom
# Magnetic moment: 0.0 μB per formula unit
# Calculated total energy: -28.672 eV per atom
# Calculated density: 9.0 g cm⁻³
# Crystal system: tetragonal

=====

# SCAN Zn3Cu, PBEsol geometry
data_Zn3Cu
_chemical_formula_sum 'Zn12 Cu4'
_cell_length_a 4.152
_cell_length_b 7.065
_cell_length_c 7.551
_cell_angle_alpha 90.00
_cell_angle_beta 90.00
_cell_angle_gamma 90.00
_symmetry_space_group_name_H-M 'C m c m'
_symmetry_Int_Tables_number 63
_symmetry_space_group_name_Hall '-C 2c 2'
loop_
_atom_site_label
_atom_site_type_symbol
_atom_site_fract_x
_atom_site_fract_y
_atom_site_fract_z
Zn1 Zn 0.000 0.001 0.250
Zn2 Zn 0.000 0.332 0.579
Cu1 Cu 0.000 0.337 0.250
# Volume: 221.5 Å³ per cell
# Magnetic moment: 0.0 μB per formula unit
# Calculated total energy: -13.997 eV per atom
# Calculated density: 7.8 g cm⁻³
# Crystal system: orthorhombic

=====

# SCAN YTa2In, PBEsol geometry
data_YTa2In
_chemical_formula_sum 'Y2 Ta4 In2'
_cell_length_a 4.084
_cell_length_b 4.185
_cell_length_c 9.582
_cell_angle_alpha 90.00
_cell_angle_beta 90.00
_cell_angle_gamma 90.00
_symmetry_space_group_name_H-M 'C m m m'
_symmetry_Int_Tables_number 65
_symmetry_space_group_name_Hall '-C 2 2'
loop_
_atom_site_label
_atom_site_type_symbol
_atom_site_fract_x
_atom_site_fract_y
_atom_site_fract_z
Y1 Y 0.000 0.000 0.000
Ta1 Ta 0.000 0.500 0.266
In1 In 0.000 0.000 0.500
# Volume: 163.8 Å³ per cell
# Magnetic moment: 0.0 μB per formula unit
# Calculated total energy: -48.289 eV per atom
# Calculated density: 11.5 g cm⁻³
# Crystal system: orthorhombic

=====

# SCAN Te2IrPt, PBEsol geometry
data_Te2IrPt
_chemical_formula_sum 'Te8 Ir4 Pt4'
_cell_length_a 6.755
_cell_length_b 6.755
_cell_length_c 6.755
_cell_angle_alpha 90.00
_cell_angle_beta 90.00
_cell_angle_gamma 90.00
_symmetry_space_group_name_H-M 'F -4 3 m'
_symmetry_Int_Tables_number 216
_symmetry_space_group_name_Hall 'F -4 2 3'
loop_
_atom_site_label
_atom_site_type_symbol
_atom_site_fract_x
_atom_site_fract_y
_atom_site_fract_z
Te1 Te 0.000 0.000 0.000
Te2 Te 0.250 0.250 0.250
Ir1 Ir 0.000 0.000 0.500
Pt1 Pt 0.250 0.250 0.750
# Volume: 308.2 Å³ per cell
# E above lowest polymorph: 1.028 eV per atom
# Magnetic moment: 0.0 μB per formula unit
# Raw formation energy: 0.781 eV/atom
# Calculated total energy: -53.167 eV per atom
# Calculated density: 13.8 g cm⁻³
# Crystal system: cubic

=====

# SCAN Be2CrHg, PBEsol geometry
data_Be2CrHg
_chemical_formula_sum 'Be2 Cr1 Hg1'
_cell_length_a 2.736
_cell_length_b 3.160
_cell_length_c 5.599
_cell_angle_alpha 90.00
_cell_angle_beta 90.00
_cell_angle_gamma 90.00
_symmetry_space_group_name_H-M 'P m m m'
_symmetry_Int_Tables_number 47
_symmetry_space_group_name_Hall '-P 2 2'
loop_
_atom_site_label
_atom_site_type_symbol
_atom_site_fract_x
_atom_site_fract_y
_atom_site_fract_z
Be1 Be 0.000 0.000 0.190
Cr1 Cr 0.500 0.500 0.000
Hg1 Hg 0.500 0.500 0.500
# Volume: 48.4 Å³ per cell
# E above lowest polymorph: 0.000 eV per atom
# Magnetic moment: 0.0 μB per formula unit
# Calculated total energy: -23.456 eV per atom
# Calculated density: 9.3 g cm⁻³
# Crystal system: orthorhombic

=====

# SCAN Tm3Ge13Pt4, PBEsol geometry
data_Tm3Ge13Pt4
_chemical_formula_sum 'Tm12 Ge52 Pt16'
_cell_length_a 12.668
_cell_length_b 12.615
_cell_length_c 8.944
_cell_angle_alpha 90.00
_cell_angle_beta 90.34
_cell_angle_gamma 90.00
_symmetry_space_group_name_H-M 'C 1 c 1'
_symmetry_Int_Tables_number 9
_symmetry_space_group_name_Hall 'C -2yc'
loop_
_atom_site_label
_atom_site_type_symbol
_atom_site_fract_x
_atom_site_fract_y
_atom_site_fract_z
Tm1 Tm 0.000 0.000 0.000
Tm2 Tm 0.124 0.376 0.248
Tm3 Tm 0.374 0.126 0.249
Ge1 Ge 0.075 0.425 0.916
Ge2 Ge 0.119 0.380 0.641
Ge3 Ge 0.162 0.166 0.394
Ge4 Ge 0.166 0.166 0.098
Ge5 Ge 0.174 0.066 0.750
Ge6 Ge 0.253 0.250 0.746
Ge7 Ge 0.303 0.305 0.009
Ge8 Ge 0.308 0.308 0.465
Ge9 Ge 0.341 0.487 0.252
Ge10 Ge 0.392 0.107 0.632
Ge11 Ge 0.426 0.071 0.921
Ge12 Ge 0.450 0.333 0.749
Ge13 Ge 0.491 0.341 0.248
Pt1 Pt 0.246 0.001 0.498
Pt2 Pt 0.249 0.499 0.003
Pt3 Pt 0.498 0.247 0.001
Pt4 Pt 0.499 0.250 0.499
# Volume: 1429.3 Å³ per cell
# Magnetic moment: 0.0 μB per formula unit
# Calculated total energy: -34.836 eV per atom
# Calculated density: 10.4 g cm⁻³
# Crystal system: monoclinic

=====

# SCAN Rb2CrPt, PBEsol geometry
data_Rb2CrPt
_chemical_formula_sum 'Rb8 Cr4 Pt4'
_cell_length_a 7.843
_cell_length_b 7.843
_cell_length_c 7.843
_cell_angle_alpha 90.00
_cell_angle_beta 90.00
_cell_angle_gamma 90.00
_symmetry_space_group_name_H-M 'F m -3 m'
_symmetry_Int_Tables_number 225
_symmetry_space_group_name_Hall '-F 4 2 3'
loop_
_atom_site_label
_atom_site_type_symbol
_atom_site_fract_x
_atom_site_fract_y
_atom_site_fract_z
Rb1 Rb 0.250 0.250 0.250
Cr1 Cr 0.000 0.000 0.000
Pt1 Pt 0.000 0.000 0.500
# Volume: 482.5 Å³ per cell
# Magnetic moment: 6.0 μB per formula unit
# Calculated total energy: -31.882 eV per atom
# Calculated density: 5.8 g cm⁻³
# Crystal system: cubic

=====

# SCAN Tc4W3, PBEsol geometry
data_Tc4W3
_chemical_formula_sum 'Tc8 W6'
_cell_length_a 3.098
_cell_length_b 3.098
_cell_length_c 21.707
_cell_angle_alpha 90.00
_cell_angle_beta 90.00
_cell_angle_gamma 90.00
_symmetry_space_group_name_H-M 'I 4/m m m'
_symmetry_Int_Tables_number 139
_symmetry_space_group_name_Hall '-I 4 2'
loop_
_atom_site_label
_atom_site_type_symbol
_atom_site_fract_x
_atom_site_fract_y
_atom_site_fract_z
Tc1 Tc 0.000 0.000 0.068
Tc2 Tc 0.000 0.000 0.355
W1 W 0.000 0.000 0.213
W2 W 0.000 0.000 0.500
# Volume: 208.3 Å³ per cell
# Magnetic moment: 0.0 μB per formula unit
# Calculated total energy: -49.860 eV per atom
# Calculated density: 15.0 g cm⁻³
# Crystal system: tetragonal

=====

# SCAN CsCdSb2Te, PBEsol geometry
data_CsCdSb2Te
_chemical_formula_sum 'Cs1 Cd1 Sb2 Te1'
_cell_length_a 6.150
_cell_length_b 6.150
_cell_length_c 6.134
_cell_angle_alpha 90.00
_cell_angle_beta 90.00
_cell_angle_gamma 90.00
_symmetry_space_group_name_H-M 'P 4/m m m'
_symmetry_Int_Tables_number 123
_symmetry_space_group_name_Hall '-P 4 2'
loop_
_atom_site_label
_atom_site_type_symbol
_atom_site_fract_x
_atom_site_fract_y
_atom_site_fract_z
Cs1 Cs 0.000 0.000 0.000
Cd1 Cd 0.500 0.500 0.500
Sb1 Sb 0.000 0.500 0.000
Te1 Te 0.000 0.000 0.500
# Volume: 232.0 Å³ per cell
# Magnetic moment: 0.6 μB per formula unit
# Raw formation energy: 1.426 eV/atom
# Calculated total energy: -34.573 eV per atom
# Calculated density: 4.4 g cm⁻³
# Crystal system: tetragonal

=====

# SCAN KHgPt, PBEsol geometry
data_KHgPt
_chemical_formula_sum 'K1 Hg1 Pt1'
_cell_length_a 3.0430
_cell_length_b 3.0430
_cell_length_c 7.7993
_cell_angle_alpha 90.00
_cell_angle_beta 90.00
_cell_angle_gamma 120.00
_symmetry_space_group_name_H-M 'P 3 m 1'
_symmetry_Int_Tables_number 156
_symmetry_space_group_name_Hall 'P 3 -2"'
loop_
_atom_site_label
_atom_site_type_symbol
_atom_site_fract_x
_atom_site_fract_y
_atom_site_fract_z
K1 K 0.0000 0.0000 0.0000
Hg1 Hg 0.6667 0.3333 0.3736
Pt1 Pt 0.3333 0.6667 0.6703
# Volume: 62.5 Å³ per cell
# Magnetic moment: 0.0 μB per formula unit
# Calculated total energy: -48.688 eV per atom
# Calculated density: 11.5 g cm⁻³
# Crystal system: trigonal

=====

# SCAN Rb2BeMo, PBEsol geometry
data_Rb2BeMo
_chemical_formula_sum 'Rb8 Be4 Mo4'
_cell_length_a 12.772
_cell_length_b 12.772
_cell_length_c 4.568
_cell_angle_alpha 90.00
_cell_angle_beta 90.00
_cell_angle_gamma 90.00
_symmetry_space_group_name_H-M 'I -4 2 d'
_symmetry_Int_Tables_number 122
_symmetry_space_group_name_Hall 'I -4 2bw'
loop_
_atom_site_label
_atom_site_type_symbol
_atom_site_fract_x
_atom_site_fract_y
_atom_site_fract_z
Rb1 Rb 0.066 0.250 0.125
Be1 Be 0.000 0.000 0.000
Mo1 Mo 0.000 0.000 0.500
# Volume: 745.1 Å³ per cell
# Magnetic moment: 3.8 μB per formula unit
# Calculated total energy: -18.889 eV per atom
# Calculated density: 2.5 g cm⁻³
# Crystal system: tetragonal

=====

# SCAN RbNaHgS2, PBEsol geometry
data_RbNaHgS2
_chemical_formula_sum 'Rb1 Na1 Hg1 S2'
_cell_length_a 5.871
_cell_length_b 5.871
_cell_length_c 6.121
_cell_angle_alpha 90.00
_cell_angle_beta 90.00
_cell_angle_gamma 90.00
_symmetry_space_group_name_H-M 'P 4/m m m'
_symmetry_Int_Tables_number 123
_symmetry_space_group_name_Hall '-P 4 2'
loop_
_atom_site_label
_atom_site_type_symbol
_atom_site_fract_x
_atom_site_fract_y
_atom_site_fract_z
Rb1 Rb 0.000 0.000 0.000
Na1 Na 0.500 0.500 0.500
Hg1 Hg 0.000 0.000 0.500
S1 S 0.000 0.500 0.000
# Volume: 211.0 Å³ per cell
# Magnetic moment: 2.0 μB per formula unit
# Raw formation energy: 0.196 eV/atom
# Calculated total energy: -22.279 eV per atom
# Calculated density: 2.9 g cm⁻³
# Crystal system: tetragonal

=====

# SCAN K2MoO4, PBEsol geometry
data_K2MoO4
_chemical_formula_sum 'K8 Mo4 O16'
_cell_length_a 12.267
_cell_length_b 6.056
_cell_length_c 7.493
_cell_angle_alpha 90.00
_cell_angle_beta 115.77
_cell_angle_gamma 90.00
_symmetry_space_group_name_H-M 'C 1 2/m 1'
_symmetry_Int_Tables_number 12
_symmetry_space_group_name_Hall '-C 2y'
loop_
_atom_site_label
_atom_site_type_symbol
_atom_site_fract_x
_atom_site_fract_y
_atom_site_fract_z
K1 K 0.010 0.000 0.235
K2 K 0.156 0.500 0.749
Mo1 Mo 0.176 0.500 0.226
O1 O 0.088 0.500 0.362
O2 O 0.142 0.262 0.075
O3 O 0.167 0.000 0.618
# Volume: 501.3 Å³ per cell
# Magnetic moment: 0.0 μB per formula unit
# Raw formation energy: -2.297 eV/atom
# Calculated total energy: -13.221 eV per atom
# Calculated density: 3.2 g cm⁻³
# Crystal system: monoclinic

=====

# SCAN ZrAu2Se, PBEsol geometry
data_ZrAu2Se
_chemical_formula_sum 'Zr2 Au4 Se2'
_cell_length_a 5.251
_cell_length_b 7.965
_cell_length_c 3.729
_cell_angle_alpha 90.00
_cell_angle_beta 90.00
_cell_angle_gamma 90.00
_symmetry_space_group_name_H-M 'C m m m'
_symmetry_Int_Tables_number 65
_symmetry_space_group_name_Hall '-C 2 2'
loop_
_atom_site_label
_atom_site_type_symbol
_atom_site_fract_x
_atom_site_fract_y
_atom_site_fract_z
Zr1 Zr 0.000 0.000 0.000
Au1 Au 0.250 0.250 0.500
Se1 Se 0.000 0.500 0.000
# Volume: 156.0 Å³ per cell
# Magnetic moment: 0.0 μB per formula unit
# Raw formation energy: -0.461 eV/atom
# Calculated total energy: -47.734 eV per atom
# Calculated density: 12.0 g cm⁻³
# Crystal system: orthorhombic

=====

# SCAN Pr2Co3Ge5, PBEsol geometry
data_Pr2Co3Ge5
_chemical_formula_sum 'Pr8 Co12 Ge20'
_cell_length_a 9.705
_cell_length_b 11.701
_cell_length_c 5.829
_cell_angle_alpha 90.00
_cell_angle_beta 90.00
_cell_angle_gamma 90.00
_symmetry_space_group_name_H-M 'I b a m'
_symmetry_Int_Tables_number 72
_symmetry_space_group_name_Hall '-I 2 2c'
loop_
_atom_site_label
_atom_site_type_symbol
_atom_site_fract_x
_atom_site_fract_y
_atom_site_fract_z
Pr1 Pr 0.236 0.134 0.000
Co1 Co 0.000 0.500 0.250
Co2 Co 0.107 0.137 0.500
Ge1 Ge 0.000 0.000 0.250
Ge2 Ge 0.000 0.268 0.250
Ge3 Ge 0.158 0.403 0.000
# Volume: 661.9 Å³ per cell
# Magnetic moment: 0.9 μB per formula unit
# Calculated total energy: -23.995 eV per atom
# Calculated density: 8.2 g cm⁻³
# Crystal system: orthorhombic

=====

# SCAN LaMg4Sc, PBEsol geometry
data_LaMg4Sc
_chemical_formula_sum 'La4 Mg16 Sc4'
_cell_length_a 8.437
_cell_length_b 8.437
_cell_length_c 8.437
_cell_angle_alpha 90.00
_cell_angle_beta 90.00
_cell_angle_gamma 90.00
_symmetry_space_group_name_H-M 'F -4 3 m'
_symmetry_Int_Tables_number 216
_symmetry_space_group_name_Hall 'F -4 2 3'
loop_
_atom_site_label
_atom_site_type_symbol
_atom_site_fract_x
_atom_site_fract_y
_atom_site_fract_z
La1 La 0.000 0.000 0.000
Mg1 Mg 0.124 0.124 0.624
Sc1 Sc 0.250 0.250 0.250
# Volume: 600.7 Å³ per cell
# Magnetic moment: 0.4 μB per formula unit
# Calculated total energy: -12.943 eV per atom
# Calculated density: 3.1 g cm⁻³
# Crystal system: cubic

=====

# SCAN As3PdRh, PBEsol geometry
data_As3PdRh
_chemical_formula_sum 'As3 Pd1 Rh1'
_cell_length_a 4.697
_cell_length_b 4.697
_cell_length_c 4.697
_cell_angle_alpha 90.00
_cell_angle_beta 90.00
_cell_angle_gamma 90.00
_symmetry_space_group_name_H-M 'P m -3 m'
_symmetry_Int_Tables_number 221
_symmetry_space_group_name_Hall '-P 4 2 3'
loop_
_atom_site_label
_atom_site_type_symbol
_atom_site_fract_x
_atom_site_fract_y
_atom_site_fract_z
As1 As 0.000 0.000 0.500
Pd1 Pd 0.000 0.000 0.000
Rh1 Rh 0.500 0.500 0.500
# Volume: 103.6 Å³ per cell
# Magnetic moment: 0.0 μB per formula unit
# Calculated total energy: -24.536 eV per atom
# Calculated density: 7.0 g cm⁻³
# Crystal system: cubic

=====

# SCAN CuIrRh2I, PBEsol geometry
data_CuIrRh2I
_chemical_formula_sum 'Cu1 Ir1 Rh2 I1'
_cell_length_a 4.707
_cell_length_b 4.707
_cell_length_c 4.506
_cell_angle_alpha 90.00
_cell_angle_beta 90.00
_cell_angle_gamma 90.00
_symmetry_space_group_name_H-M 'P 4/m m m'
_symmetry_Int_Tables_number 123
_symmetry_space_group_name_Hall '-P 4 2'
loop_
_atom_site_label
_atom_site_type_symbol
_atom_site_fract_x
_atom_site_fract_y
_atom_site_fract_z
Cu1 Cu 0.000 0.000 0.000
Ir1 Ir 0.500 0.500 0.000
Rh1 Rh 0.000 0.500 0.500
I1 I 0.000 0.000 0.500
# Volume: 99.8 Å³ per cell
# Magnetic moment: 1.9 μB per formula unit
# Raw formation energy: 1.763 eV/atom
# Calculated total energy: -36.353 eV per atom
# Calculated density: 9.8 g cm⁻³
# Crystal system: tetragonal